Record 1
This record from OQMD via LeMat-Bulk describes an optimized crystal structure of DyHoCu2. The functional is GGA-PBE.

abc: 4.4737 7.0912 5.3508
angles: 90.00 90.00 90.00
Last column: nearest neighbours and their distance in Å.
Space group Pmn2_1 (No. 31)
Inequivalent atoms, fractional coordinates:
Dy 0.0000 0.0683 0.0000 [2 per cell]  7 Cu 2.84-3.02
Ho 0.0000 0.5682 0.7685 [2 per cell]  7 Cu 2.84-3.02
Cu 0.0000 0.2175 0.5070 [2 per cell]  2 Cu 2.66, 2 Dy 2.84-2.91, 1 Ho 2.85
Cu 0.0000 0.7171 0.2613 [2 per cell]  2 Cu 2.66, 2 Ho 2.84-2.91, 1 Dy 2.86

Output
- ΔE_f (kJ/mol of formula units) = -103
- ΔE to the lowest computed polymorph (meV/atom) = 0
- total energy (eV per formula unit) = -17.7
- spin magnetization (μB/atom) = 0.001



Record 2
This record from OQMD via LeMat-Bulk describes an optimized crystal structure of Dy2HoCu2. The functional is GGA-PBE.

abc: 13.3899 3.6794 9.6516
angles: 90.00 104.75 90.00
Last column: nearest neighbours and their distance in Å.
Space group C2/m (No. 12)
Inequivalent atoms, fractional coordinates:
Dy 0.1339 0.0000 0.4885 [4 per cell]  7 Cu 2.85-3.02
Dy 0.1501 0.0000 0.8803 [4 per cell]  4 Cu 2.85-3.02
Ho 0.0873 0.5000 0.1616 [4 per cell]  3 Cu 2.85-2.90
Cu 0.0398 0.5000 0.6418 [4 per cell]  2 Cu 2.65-2.67, 2 Dy 2.85, 1 Ho 2.85
Cu 0.2442 0.5000 0.7268 [4 per cell]  1 Cu 2.65, 3 Dy 2.85-2.95, 2 Ho 2.90

Output
- ΔE_f (kJ/mol of formula units) = -92
- total energy (eV per formula unit) = -22.2
- spin magnetization (μB/atom) = 0.002



Record 3
This record from OQMD via LeMat-Bulk describes an optimized crystal structure of DyHoCu6. The functional is GGA-PBE.

abc: 4.3468 5.7002 5.1777
angles: 90.00 90.00 90.00
Last column: nearest neighbours and their distance in Å.
Space group Pmm2 (No. 25)
Inequivalent atoms, fractional coordinates:
Dy 0.0000 0.0000 0.0000 [1 per cell]  12 Cu 2.88-2.99
Ho 0.5000 0.5000 0.7322 [1 per cell]  12 Cu 2.87-2.97
Cu 0.0000 0.2278 0.5037 [2 per cell]  6 Cu 2.51-2.61
Cu 0.0000 0.5000 0.1232 [1 per cell]  6 Cu 2.51-2.58
Cu 0.5000 0.0000 0.6047 [1 per cell]  6 Cu 2.50-2.59
Cu 0.5000 0.2754 0.2290 [2 per cell]  6 Cu 2.50-2.61

Output
- ΔE_f (kJ/mol of formula units) = -141
- total energy (eV per formula unit) = -32.9
- spin magnetization (μB/atom) = 0.001



Record 4
This record from OQMD via LeMat-Bulk describes an optimized crystal structure of DyHo3Cu4. The functional is GGA-PBE.

abc: 5.3321 4.4592 7.0673
angles: 90.00 90.01 90.00
Last column: nearest neighbours and their distance in Å.
Space group Pm (No. 6)
Inequivalent atoms, fractional coordinates:
Dy 0.0000 0.0000 0.0000 [1 per cell]  7 Cu 2.83-3.01
Ho 0.2315 0.0000 0.5000 [1 per cell]  7 Cu 2.83-3.01
Ho 0.5000 0.5000 0.1365 [1 per cell]  7 Cu 2.83-3.01
Ho 0.7315 0.5000 0.6364 [1 per cell]  7 Cu 2.83-3.01
Cu 0.2387 0.5000 0.7855 [1 per cell]  2 Cu 2.65, 3 Ho 2.83-2.90
Cu 0.4929 0.0000 0.8508 [1 per cell]  2 Cu 2.65, 2 Dy 2.83-2.90, 1 Ho 2.84
Cu 0.7386 0.0000 0.3510 [1 per cell]  2 Cu 2.65, 2 Ho 2.83-2.90, 1 Dy 2.85
Cu 0.9929 0.5000 0.2856 [1 per cell]  2 Cu 2.65, 3 Ho 2.83-2.90

Output
- ΔE_f (kJ/mol of formula units) = -207
- total energy (eV per formula unit) = -35.3
- spin magnetization (μB/atom) = 0.002